Record 1
The following is a DFT calculation (PBE) of a relaxed BaMg2BiAu crystal.

## Properties
Crystal system: tetragonal
SG: P4/mmm
Calculated volume: 45.477 Å³/atom
Relative energy among the computed polymorphs: 0.0 meV/atom
Formation energy from the elements: 0.87 eV/atom
E_tot: -0.1163 Ry per atom

a = 6.3124 Å, b = 6.3124 Å, c = 5.7066 Å
α = 90.00°, β = 90.00°, γ = 90.00°
Sites, in units of the cell vectors:
Ba  0.0000  0.0000  0.0000
Mg  0.0000  0.5000  0.0000
Mg  0.5000  0.0000  0.0000
Bi  0.5000  0.5000  0.5000
Au  0.0000  0.0000  0.5000

***

Record 2
The following is a DFT calculation (PBE) of a relaxed PmZnTeO6 crystal.

## Properties
Crystal system: trigonal
SG: P-31c
Calculated volume: 13.531 Å³/atom
Energy relative to the elements, uncorrected: -15.2 eV per formula unit
E_tot: -0.4421 Ry per atom

a = 5.2663 Å, b = 5.2663 Å, c = 10.1403 Å
α = 90.00°, β = 90.00°, γ = 120.00°
Sites, in units of the cell vectors:
Pm  0.0000  0.0000  0.0000
Pm  0.0000  0.0000  0.5000
Zn  0.3333  0.6667  0.2500
Zn  0.6667  0.3333  0.7500
Te  0.3333  0.6667  0.7500
Te  0.6667  0.3333  0.2500
O  0.0198  0.3742  0.6406
O  0.0198  0.6456  0.8594
O  0.3544  0.3742  0.8594
O  0.3544  0.9802  0.6406
O  0.3742  0.0198  0.1406
O  0.3742  0.3544  0.3594
O  0.6258  0.6456  0.6406
O  0.6258  0.9802  0.8594
O  0.6456  0.0198  0.3594
O  0.6456  0.6258  0.1406
O  0.9802  0.3544  0.1406
O  0.9802  0.6258  0.3594

***

Record 3
The following is a DFT calculation (PBE) of a relaxed ZrGaSnAu crystal.

## Properties
Crystal system: orthorhombic
SG: Pmmm
Calculated volume: 19.718 Å³/atom
Formation energy from the elements: -0.43 eV/atom
E_tot: -0.3779 Ry per atom

a = 4.0679 Å, b = 4.2899 Å, c = 4.5196 Å
α = 90.00°, β = 90.00°, γ = 90.00°
Sites, in units of the cell vectors:
Zr  0.0000  0.0000  0.0000
Ga  0.5000  0.5000  0.0000
Sn  0.5000  0.0000  0.5000
Au  0.0000  0.5000  0.5000

***

Record 4
The following is a DFT calculation (PBE) of a relaxed PrAs3Rh3 crystal.

## Properties
Crystal system: cubic
SG: Pm-3n
Calculated volume: 21.552 Å³/atom
Formation energy from the elements: -0.45 eV/atom
E_tot: -0.4613 Ry per atom

a = 6.7071 Å, b = 6.7071 Å, c = 6.7071 Å
α = 90.00°, β = 90.00°, γ = 90.00°
Sites, in units of the cell vectors:
Pr  0.0000  0.0000  0.0000
Pr  0.5000  0.5000  0.5000
As  0.0000  0.2500  0.5000
As  0.0000  0.7500  0.5000
As  0.2500  0.5000  0.0000
As  0.5000  0.0000  0.2500
As  0.5000  0.0000  0.7500
As  0.7500  0.5000  0.0000
Rh  0.0000  0.5000  0.2500
Rh  0.0000  0.5000  0.7500
Rh  0.2500  0.0000  0.5000
Rh  0.5000  0.2500  0.0000
Rh  0.5000  0.7500  0.0000
Rh  0.7500  0.0000  0.5000